1.
## TcTe2PI (meta-GGA SCAN)

Data for a PBEsol-optimized structure of TcTe2PI.

a = 5.039 Å, b = 5.039 Å, c = 5.353 Å
α = 90.00°, β = 90.00°, γ = 90.00°
Sites, in units of the cell vectors:
Te 0.000 0.500 0.000
Te 0.500 0.000 0.000
Tc 0.000 0.000 0.000
I 0.000 0.000 0.500
P 0.500 0.500 0.500

Output
Density of states at the Fermi level   5.044 states/eV per cell
V   136 Å³/cell
E_tot   -30.389 eV/atom
Size of the total moment   0.00 μB per formula unit
Formation energy (no corrections)   459 kJ/mol of formula units

2.
## Rh2AuCl (meta-GGA SCAN)

Data for a PBEsol-optimized structure of Rh2AuCl.

a = 2.866 Å, b = 3.762 Å, c = 5.664 Å
α = 90.00°, β = 90.00°, γ = 90.00°
Sites, in units of the cell vectors:
Rh 0.000 0.000 0.247
Rh 0.000 0.000 0.753
Au 0.500 0.500 0.500
Cl 0.000 0.500 0.000

Output
Density of states at the Fermi level   3.588 states/eV per cell
V   61 Å³/cell
E_tot   -35.861 eV/atom
Size of the total moment   0.00 μB per formula unit
Formation energy (no corrections)   119 kJ/mol of formula units

3.
## TiGa3 (meta-GGA SCAN)

Data for a PBEsol-optimized structure of TiGa3.

a = 3.741 Å, b = 3.741 Å, c = 5.079 Å
α = 111.61°, β = 111.61°, γ = 90.00°
Sites, in units of the cell vectors:
Ga 0.250 0.750 0.500
Ga 0.750 0.250 0.500
Ga 0.500 0.500 0.000
Ti 0.000 0.000 0.000

Output
Density of states at the Fermi level   1.290 states/eV per cell
V   61 Å³/cell
ΔH_f (0 K)   -1.851 eV/f.u.
E_tot   -16.730 eV/atom
Size of the total moment   0.00 μB per formula unit

4.
## BeAlN2F (meta-GGA SCAN)

Data for a PBEsol-optimized structure of BeAlN2F.

a = 3.553 Å, b = 3.731 Å, c = 3.731 Å
α = 90.00°, β = 90.00°, γ = 90.00°
Sites, in units of the cell vectors:
N 0.000 0.000 0.500
N 0.000 0.500 0.000
Be 0.500 0.500 0.500
F 0.500 0.000 0.000
Al 0.000 0.000 0.000

Output
Density of states at the Fermi level   1.684 states/eV per cell
V   49 Å³/cell
E_tot   -6.984 eV/atom
Size of the total moment   0.09 μB per formula unit
Formation energy (no corrections)   -67 kJ/mol of formula units

5.
## GaP2SeO (meta-GGA SCAN)

Data for a PBEsol-optimized structure of GaP2SeO.

a = 3.665 Å, b = 4.818 Å, c = 4.818 Å
α = 90.00°, β = 90.00°, γ = 90.00°
Sites, in units of the cell vectors:
Se 0.000 0.000 0.000
P 0.000 0.000 0.500
P 0.000 0.500 0.000
O 0.500 0.000 0.000
Ga 0.500 0.500 0.500

Output
Density of states at the Fermi level   2.812 states/eV per cell
V   85 Å³/cell
E_tot   -12.103 eV/atom
Size of the total moment   0.00 μB per formula unit
Formation energy (no corrections)   283 kJ/mol of formula units

6.
## NbZnSb2Rh (meta-GGA SCAN)

Data for a PBEsol-optimized structure of NbZnSb2Rh.

a = 4.378 Å, b = 4.950 Å, c = 4.950 Å
α = 90.00°, β = 90.00°, γ = 90.00°
Sites, in units of the cell vectors:
Sb 0.000 0.500 0.000
Sb 0.000 0.000 0.500
Rh 0.500 0.000 0.000
Nb 0.500 0.500 0.500
Zn 0.000 0.000 0.000

Output
Density of states at the Fermi level   3.418 states/eV per cell
V   107 Å³/cell
E_tot   -30.072 eV/atom
Size of the total moment   1.42 μB per formula unit
Formation energy (no corrections)   442 kJ/mol of formula units

7.
## K3BaPCO7 (meta-GGA SCAN)

Data for a PBEsol-optimized structure of K3BaPCO7.

a = 5.666 Å, b = 7.689 Å, c = 9.975 Å
α = 90.00°, β = 90.52°, γ = 90.00°
Sites, in units of the cell vectors:
Ba 0.222 0.750 0.596
Ba 0.778 0.250 0.404
O 0.734 0.750 0.565
O 0.158 0.086 0.650
O 0.961 0.250 0.135
O 0.564 0.250 0.147
O 0.842 0.914 0.350
O 0.741 0.250 0.946
O 0.436 0.750 0.853
O 0.259 0.750 0.054
O 0.158 0.414 0.650
O 0.266 0.250 0.435
O 0.039 0.750 0.865
O 0.454 0.750 0.367
O 0.842 0.586 0.350
O 0.546 0.250 0.633
K 0.753 0.750 0.091
K 0.746 0.505 0.761
K 0.254 0.005 0.239
K 0.247 0.250 0.909
K 0.746 0.995 0.761
K 0.254 0.495 0.239
P 0.281 0.250 0.592
P 0.719 0.750 0.408
C 0.244 0.750 0.924
C 0.756 0.250 0.076

Output
Density of states at the Fermi level   0.000 states/eV per cell
V   435 Å³/cell
E_tot   -12.332 eV/atom
Size of the total moment   0.09 μB per formula unit
Formation energy (no corrections)   -3054 kJ/mol of formula units

8.
## KTaNi2 (meta-GGA SCAN)

Data for a PBEsol-optimized structure of KTaNi2.

a = 2.622 Å, b = 4.820 Å, c = 5.847 Å
α = 114.34°, β = 102.96°, γ = 90.00°
Sites, in units of the cell vectors:
K 0.259 0.759 0.518
Ni 0.741 0.241 0.481
Ni 0.038 0.038 0.076
Ta 0.462 0.462 0.924

Output
Density of states at the Fermi level   3.153 states/eV per cell
V   65 Å³/cell
ΔH_f (0 K)   3.035 eV/f.u.
E_tot   -26.056 eV/atom
Size of the total moment   0.00 μB per formula unit

9.
## LaCo3Pt (meta-GGA SCAN)

Data for a PBEsol-optimized structure of LaCo3Pt.

a = 4.366 Å, b = 4.366 Å, c = 4.366 Å
α = 90.00°, β = 90.00°, γ = 90.00°
Sites, in units of the cell vectors:
Co 0.000 0.500 0.000
Co 0.500 0.000 0.000
Co 0.000 0.000 0.500
La 0.000 0.000 0.000
Pt 0.500 0.500 0.500

Output
Density of states at the Fermi level   2.456 states/eV per cell
V   83 Å³/cell
ΔH_f (0 K)   8.311 eV/f.u.
E_tot   -31.380 eV/atom
Size of the total moment   3.19 μB per formula unit

10.
## HgTeRu (meta-GGA SCAN)

Data for a PBEsol-optimized structure of HgTeRu.

a = 4.486 Å, b = 4.486 Å, c = 4.486 Å
α = 60.00°, β = 60.00°, γ = 60.00°
Sites, in units of the cell vectors:
Ru 0.750 0.750 0.750
Te 0.000 0.000 0.000
Hg 0.500 0.500 0.500

Output
Density of states at the Fermi level   3.184 states/eV per cell
V   64 Å³/cell
E_tot   -46.446 eV/atom
Size of the total moment   0.00 μB per formula unit
Formation energy (no corrections)   87 kJ/mol of formula units

11.
## CrHgPCl2 (meta-GGA SCAN)

Data for a PBEsol-optimized structure of CrHgPCl2.

a = 4.606 Å, b = 4.606 Å, c = 4.808 Å
α = 90.00°, β = 90.00°, γ = 90.00°
Sites, in units of the cell vectors:
Cr 0.000 0.000 0.000
Cl 0.500 0.000 0.000
Cl 0.000 0.500 0.000
Hg 0.500 0.500 0.500
P 0.000 0.000 0.500

Output
Density of states at the Fermi level   1.960 states/eV per cell
V   102 Å³/cell
E_tot   -22.898 eV/atom
Size of the total moment   2.06 μB per formula unit
Formation energy (no corrections)   -153 kJ/mol of formula units

12.
## SmAsO4 (meta-GGA SCAN)

Data for a PBEsol-optimized structure of SmAsO4.

a = 6.644 Å, b = 6.828 Å, c = 7.028 Å
α = 90.00°, β = 90.00°, γ = 105.24°
Sites, in units of the cell vectors:
O 0.163 0.518 0.606
O 0.837 0.482 0.394
O 0.499 0.604 0.848
O 0.580 0.744 0.493
O 0.337 0.982 0.106
O 0.226 0.611 0.212
O 0.420 0.256 0.507
O 0.501 0.396 0.152
O 0.920 0.756 0.993
O 0.001 0.896 0.348
O 0.274 0.889 0.712
O 0.774 0.389 0.788
O 0.080 0.244 0.007
O 0.663 0.018 0.894
O 0.726 0.111 0.288
O 0.999 0.104 0.652
Sm 0.593 0.780 0.149
Sm 0.093 0.280 0.351
Sm 0.907 0.720 0.649
Sm 0.407 0.220 0.851
As 0.388 0.698 0.661
As 0.888 0.198 0.839
As 0.112 0.802 0.161
As 0.612 0.302 0.339

Output
Density of states at the Fermi level   0.000 states/eV per cell
V   308 Å³/cell
E_tot   -17.509 eV/atom
Size of the total moment   0.00 μB per formula unit
Formation energy (no corrections)   -1495 kJ/mol of formula units